1.
# IrRhPb3 PBE optimized geometry
# Energy above the lowest structure with this stoichiometry ... 0.0 kJ/mol of atoms
data_IrRhPb3
_chemical_formula_sum 'Ir1 Rh1 Pb3'
_cell_length_a 5.2145
_cell_length_b 5.2145
_cell_length_c 5.2145
_cell_angle_alpha 90.00
_cell_angle_beta 90.00
_cell_angle_gamma 90.00
_symmetry_space_group_name_H-M 'P m -3 m'
_symmetry_Int_Tables_number 221
_symmetry_space_group_name_Hall '-P 4 2 3'
loop_
_atom_site_label
_atom_site_fract_x
_atom_site_fract_y
_atom_site_fract_z
_atom_site_occupancy
Ir1 0.0000 0.0000 0.0000 1
Rh1 0.5000 0.5000 0.5000 1
Pb1 0.0000 0.0000 0.5000 1



2.
The following is a PBE calculation of a relaxed structure of Ir2RhPb, from Alexandria.

The structure in CIF format:
```
data_Ir2RhPb
_chemical_formula_sum 'Ir4 Rh2 Pb2'
_cell_length_a 5.7785
_cell_length_b 7.7625
_cell_length_c 2.9505
_cell_angle_alpha 90.00
_cell_angle_beta 90.00
_cell_angle_gamma 90.00
_symmetry_space_group_name_H-M 'C m m m'
_symmetry_Int_Tables_number 65
_symmetry_space_group_name_Hall '-C 2 2'
loop_
_atom_site_label
_atom_site_fract_x
_atom_site_fract_y
_atom_site_fract_z
_atom_site_occupancy
Ir1 0.2500 0.2500 0.0000 1
Rh1 0.0000 0.0000 0.5000 1
Pb1 0.0000 0.5000 0.5000 1
```



3.
The following is a PBE calculation of a relaxed structure of Ir2RhPb, from Alexandria.

The structure in CIF format:
```
data_Ir2RhPb
_chemical_formula_sum 'Ir4 Rh2 Pb2'
_cell_length_a 4.0998
_cell_length_b 4.0998
_cell_length_c 7.8314
_cell_angle_alpha 90.00
_cell_angle_beta 90.00
_cell_angle_gamma 90.00
_symmetry_space_group_name_H-M 'I 4/m m m'
_symmetry_Int_Tables_number 139
_symmetry_space_group_name_Hall '-I 4 2'
loop_
_atom_site_label
_atom_site_fract_x
_atom_site_fract_y
_atom_site_fract_z
_atom_site_occupancy
Ir1 0.0000 0.5000 0.2500 1
Rh1 0.0000 0.0000 0.0000 1
Pb1 0.0000 0.0000 0.5000 1
```



4.
The following is a PBE calculation of a relaxed structure of Ir2RhPb, from Alexandria.

The structure in CIF format:
```
data_Ir2RhPb
_chemical_formula_sum 'Ir6 Rh3 Pb3'
_cell_length_a 2.9409
_cell_length_b 2.9409
_cell_length_c 27.3008
_cell_angle_alpha 90.00
_cell_angle_beta 90.00
_cell_angle_gamma 120.00
_symmetry_space_group_name_H-M 'R 3 m'
_symmetry_Int_Tables_number 160
_symmetry_space_group_name_Hall 'R 3 -2"'
loop_
_atom_site_label
_atom_site_fract_x
_atom_site_fract_y
_atom_site_fract_z
_atom_site_occupancy
Ir1 0.0000 0.0000 0.0000 1
Ir2 0.0000 0.0000 0.2570 1
Rh1 0.0000 0.0000 0.7441 1
Pb1 0.0000 0.0000 0.4990 1
```



5.
The following is a PBE calculation of a relaxed structure of Ir2RhPb, from Alexandria.

The structure in CIF format:
```
data_Ir2RhPb
_chemical_formula_sum 'Ir2 Rh1 Pb1'
_cell_length_a 2.9213
_cell_length_b 4.8481
_cell_length_c 4.7657
_cell_angle_alpha 90.00
_cell_angle_beta 90.42
_cell_angle_gamma 90.00
_symmetry_space_group_name_H-M 'P 1 2/m 1'
_symmetry_Int_Tables_number 10
_symmetry_space_group_name_Hall '-P 2y'
loop_
_atom_site_label
_atom_site_fract_x
_atom_site_fract_y
_atom_site_fract_z
_atom_site_occupancy
Ir1 0.2365 0.0000 0.2634 1
Rh1 0.0000 0.5000 0.5000 1
Pb1 0.5000 0.5000 0.0000 1
```



6.
The following is a PBE calculation of a relaxed structure of Ir2RhPb, from Alexandria.

The structure in CIF format:
```
data_Ir2RhPb
_chemical_formula_sum 'Ir4 Rh2 Pb2'
_cell_length_a 4.1088
_cell_length_b 4.1088
_cell_length_c 7.7958
_cell_angle_alpha 90.00
_cell_angle_beta 90.00
_cell_angle_gamma 90.00
_symmetry_space_group_name_H-M 'I -4 m 2'
_symmetry_Int_Tables_number 119
_symmetry_space_group_name_Hall 'I -4 -2'
loop_
_atom_site_label
_atom_site_fract_x
_atom_site_fract_y
_atom_site_fract_z
_atom_site_occupancy
Ir1 0.0000 0.0000 0.0000 1
Ir2 0.0000 0.5000 0.2500 1
Rh1 0.0000 0.0000 0.5000 1
Pb1 0.0000 0.5000 0.7500 1
```



Calculated Fermi-level density of states, 1.30, 6.28, 10.04, 14.71, 3.93, 9.31 states/eV per cell (same order as the records).
Calculated energy relative to the elements, 757, 388, 354, 485, 423, 331 meV/atom (same order as the records).